PrPuSnPd, relaxed, DFT PBE; total magnetic moment = 5.54 Bohr magnetons per cell; calculated formation energy = -1.8 eV per formula unit; SG = No. 216
1.0
-3.3687 -2.1374 -3.4852
-3.6874 -3.4307 1.6421
-5.1047 1.4156 0.0398
Pd Pr Sn Pu
1 1 1 1
Cartesian
0.0000 0.0000 0.0000 Pd
-3.0402 -1.0381 -0.4508 Pr
-6.0804 -2.0763 -0.9016 Sn
-9.1206 -3.1144 -1.3524 Pu